# 1
# SrPrDy4Se8 PBE relaxed
data_SrPrDy4Se8
_chemical_formula_sum 'Sr3 Pr3 Dy12 Se24'
_cell_length_a 8.5408
_cell_length_b 8.5408
_cell_length_c 21.2619
_cell_angle_alpha 90.00
_cell_angle_beta 90.00
_cell_angle_gamma 120.00
_space_group_name_H-M_alt 'R 3 m'
_space_group_IT_number 160
_space_group_name_Hall 'R 3 -2"'
loop_
_atom_site_label
_atom_site_type_symbol
_atom_site_fract_x
_atom_site_fract_y
_atom_site_fract_z
Sr1 Sr 0.0000 0.0000 0.0000
Pr1 Pr 0.0000 0.0000 0.6289
Dy1 Dy 0.0000 0.0000 0.2528
Dy2 Dy 0.1690 0.3379 0.4598
Se1 Se 0.0000 0.0000 0.3849
Se2 Se 0.0000 0.0000 0.8628
Se3 Se 0.0294 0.5147 0.3853
Se4 Se 0.1733 0.3466 0.2049
# Formation energy without anion corrections (eV/atom): -1.791

# 2
# Cr2ReP PBE relaxed
data_Cr2ReP
_chemical_formula_sum 'Cr2 Re1 P1'
_cell_length_a 2.9699
_cell_length_b 3.9447
_cell_length_c 4.2856
_cell_angle_alpha 90.00
_cell_angle_beta 90.00
_cell_angle_gamma 90.00
_space_group_name_H-M_alt 'P m m m'
_space_group_IT_number 47
loop_
_space_group_symop_operation_xyz
'x,y,z'
'-x,-y,-z'
'-x,-y,z'
'x,y,-z'
'x,-y,-z'
'-x,y,z'
'-x,y,-z'
'x,-y,z'
loop_
_atom_site_label
_atom_site_type_symbol
_atom_site_fract_x
_atom_site_fract_y
_atom_site_fract_z
Cr1 Cr 0.0000 0.0000 0.0000
Cr2 Cr 0.5000 0.5000 0.0000
Re1 Re 0.0000 0.5000 0.5000
P1 P 0.5000 0.0000 0.5000
# DFT formation energy (eV/atom): 0.00

# 3
# KRuPb2 PBE relaxed
data_KRuPb2
_chemical_formula_sum 'K1 Ru1 Pb2'
_cell_length_a 4.8680
_cell_length_b 4.8680
_cell_length_c 4.2882
_cell_angle_alpha 90.00
_cell_angle_beta 90.00
_cell_angle_gamma 90.00
_space_group_name_H-M_alt 'P 4/m m m'
_space_group_IT_number 123
_space_group_name_Hall '-P 4 2'
loop_
_atom_site_label
_atom_site_type_symbol
_atom_site_fract_x
_atom_site_fract_y
_atom_site_fract_z
K1 K 0.0000 0.0000 0.0000
Ru1 Ru 0.5000 0.5000 0.0000
Pb1 Pb 0.0000 0.5000 0.5000
# DFT formation energy (eV/atom): 0.72

Copy entry 2 word for word.
# Cr2ReP PBE relaxed
data_Cr2ReP
_chemical_formula_sum 'Cr2 Re1 P1'
_cell_length_a 2.9699
_cell_length_b 3.9447
_cell_length_c 4.2856
_cell_angle_alpha 90.00
_cell_angle_beta 90.00
_cell_angle_gamma 90.00
_space_group_name_H-M_alt 'P m m m'
_space_group_IT_number 47
loop_
_space_group_symop_operation_xyz
'x,y,z'
'-x,-y,-z'
'-x,-y,z'
'x,y,-z'
'x,-y,-z'
'-x,y,z'
'-x,y,-z'
'x,-y,z'
loop_
_atom_site_label
_atom_site_type_symbol
_atom_site_fract_x
_atom_site_fract_y
_atom_site_fract_z
Cr1 Cr 0.0000 0.0000 0.0000
Cr2 Cr 0.5000 0.5000 0.0000
Re1 Re 0.0000 0.5000 0.5000
P1 P 0.5000 0.0000 0.5000
# DFT formation energy (eV/atom): 0.00